(1)
## Y2Al3Mo (GGA-PBE)

Data for a relaxed Y2Al3Mo crystal.

**ΔE_f**: -2.4 eV per formula unit
**Size of the total moment**: 0.00 μB per cell
**DOS(E_F)**: 5.14 states/eV/cell

abc: 5.598 5.598 5.513
angles: 89.99 120.50 120.03
Atoms (fractional coordinates):
Y  0.743  0.372  0.115
Y  0.257  0.628  0.885
Al  0.500  0.500  0.500
Al  0.000  0.000  0.500
Al  0.500  0.000  0.500
Mo  0.000  0.000  0.000

***

(2)
## YAl2Mo (GGA-PBE)

Data for a relaxed YAl2Mo crystal.

**ΔE_f**: 0.2 eV per formula unit
**Energy relative to the lowest polymorph listed for this composition**: 90 kJ/mol of formula units
**Size of the total moment**: 0.00 μB per cell
**DOS(E_F)**: 2.37 states/eV/cell

abc: 5.414 5.414 5.100
angles: 73.45 73.45 31.80
Atoms (fractional coordinates):
Y  0.248  0.248  0.246
Mo  0.481  0.481  0.536
Al  0.019  0.019  0.982
Al  0.752  0.752  0.737

***

(3)
## Y2AlMo (GGA-PBE)

Data for a relaxed Y2AlMo crystal.

**ΔE_f**: 0.3 eV per formula unit
**Size of the total moment**: 0.00 μB per cell
**DOS(E_F)**: 3.86 states/eV/cell

abc: 5.813 5.813 5.351
angles: 73.86 73.86 31.85
Atoms (fractional coordinates):
Y  0.977  0.977  0.048
Y  0.771  0.771  0.699
Mo  0.219  0.219  0.240
Al  0.533  0.533  0.513